Entry from Alexandria: a relaxed structure of Ba4Bi5Pt2 (PBE).

Output
formation energy from the elements = -0.74 eV per atom
energy = -4.297 eV/atom

a = 8.1825 Å, b = 5.0604 Å, c = 9.4848 Å
α = 90.00°, β = 91.33°, γ = 90.00°
Closest atoms and distances in Å follow each position.
Fractional positions:
Ba 0.2225 0.0000 0.1318  8 Bi 3.60-3.72, 2 Pt 3.67
Ba 0.2380 0.0000 0.5992  4 Pt 3.44-3.69, 6 Bi 3.72-3.84
Ba 0.7620 0.0000 0.4008  4 Pt 3.44-3.69, 6 Bi 3.72-3.84
Ba 0.7775 0.0000 0.8682  8 Bi 3.60-3.72, 2 Pt 3.67
Bi 0.1063 0.5000 0.8600  1 Pt 2.80
Bi 0.4228 0.5000 0.3434  1 Pt 2.76
Bi 0.5000 0.5000 0.0000  4 Bi 3.33-3.46, 4 Ba 3.64
Bi 0.5772 0.5000 0.6566  1 Pt 2.76
Bi 0.8937 0.5000 0.1400  1 Pt 2.80
Pt 0.0899 0.5000 0.3858  1 Pt 2.65, 2 Bi 2.76-2.80
Pt 0.9101 0.5000 0.6142  1 Pt 2.65, 2 Bi 2.76-2.80

---

Entry from Alexandria: a relaxed structure of AgAu (PBE).

Output
formation energy from the elements = 0.31 eV per atom
energy = -2.756 eV/atom

a = 8.8963 Å, b = 8.8963 Å, c = 2.7489 Å
α = 90.00°, β = 90.00°, γ = 90.00°
Closest atoms and distances in Å follow each position.
Fractional positions:
Ag 0.1929 0.1929 0.0000  2 Ag 2.75, 4 Au 2.79-2.82
Ag 0.3071 0.6929 0.5000  2 Ag 2.75, 4 Au 2.79-2.82
Ag 0.6929 0.3071 0.5000  2 Ag 2.75, 4 Au 2.79-2.82
Ag 0.8071 0.8071 0.0000  2 Ag 2.75, 4 Au 2.79-2.82
Au 0.1140 0.8860 0.0000  3 Au 2.75-2.87, 4 Ag 2.79-2.82
Au 0.3860 0.3860 0.5000  3 Au 2.75-2.87, 4 Ag 2.79-2.82
Au 0.6140 0.6140 0.5000  3 Au 2.75-2.87, 4 Ag 2.79-2.82
Au 0.8860 0.1140 0.0000  3 Au 2.75-2.87, 4 Ag 2.79-2.82

---

Entry from Alexandria: a relaxed structure of Mg8Pt2Rh (PBE).

Output
relative energy among the computed polymorphs = 6.0 meV per atom
formation energy from the elements = -0.52 eV per atom
energy = -3.448 eV/atom

a = 7.9379 Å, b = 7.9379 Å, c = 6.4801 Å
α = 111.33°, β = 111.33°, γ = 32.77°
Closest atoms and distances in Å follow each position.
Fractional positions:
Mg 0.0231 0.0231 0.2763  1 Pt 2.73, 2 Rh 2.76, 4 Mg 2.96-3.00
Mg 0.1870 0.1870 0.7644  3 Pt 2.72-2.92, 6 Mg 2.98-3.04
Mg 0.3360 0.3360 0.5687  1 Rh 2.70, 3 Pt 2.70-2.84, 4 Mg 2.97-3.00
Mg 0.3939 0.3939 0.0608  1 Rh 2.69, 2 Pt 2.73, 6 Mg 2.96-3.01
Mg 0.6061 0.6061 0.9392  1 Rh 2.69, 2 Pt 2.73, 6 Mg 2.96-3.01
Mg 0.6640 0.6640 0.4313  1 Rh 2.70, 3 Pt 2.70-2.84, 4 Mg 2.97-3.00
Mg 0.8130 0.8130 0.2356  3 Pt 2.72-2.92, 6 Mg 2.98-3.04
Mg 0.9769 0.9769 0.7237  1 Pt 2.73, 2 Rh 2.76, 4 Mg 2.96-3.00
Pt 0.1830 0.1830 0.1810  9 Mg 2.70-2.92
Pt 0.8170 0.8170 0.8190  9 Mg 2.70-2.92
Rh 0.5000 0.5000 0.5000  8 Mg 2.69-2.76